DFT (PBE) results for a relaxed Gd3V5Te12 crystal.

Output
energy relative to the elements, uncorrected: -552 meV/atom
calculated density: 6.10 g/cm3
density of states at the Fermi level: 18.28 states/eV/f.u.
SG: Ia-3d (230)

Lattice parameters (Å, degrees): 14.7294 14.7294 14.7294 109.47 109.47 109.47
Closest atoms and distances in Å follow each position.
Atoms (fractional coordinates):
Gd  0.7500  0.3750  0.1250  8 Te 3.26-3.32
Gd  0.8750  0.7500  0.1250  8 Te 3.26-3.32
Gd  0.3750  0.7500  0.6250  8 Te 3.26-3.32
Gd  0.2500  0.1250  0.3750  8 Te 3.26-3.32
Gd  0.8750  0.1250  0.2500  8 Te 3.26-3.32
Gd  0.3750  0.6250  0.2500  8 Te 3.26-3.32
Gd  0.6250  0.3750  0.7500  8 Te 3.26-3.32
Gd  0.1250  0.8750  0.7500  8 Te 3.26-3.32
Gd  0.7500  0.8750  0.6250  8 Te 3.26-3.32
Gd  0.6250  0.2500  0.3750  8 Te 3.26-3.32
Gd  0.1250  0.2500  0.8750  8 Te 3.26-3.32
Gd  0.2500  0.6250  0.8750  8 Te 3.26-3.32
V  0.1250  0.3750  0.2500  4 Te 2.60
V  0.0000  0.5000  0.0000  6 Te 2.78
V  0.0000  0.0000  0.0000  6 Te 2.78
V  0.3750  0.2500  0.1250  4 Te 2.60
V  0.5000  0.0000  0.5000  6 Te 2.78
V  0.5000  0.5000  0.0000  6 Te 2.78
V  0.1250  0.7500  0.3750  4 Te 2.60
V  0.7500  0.1250  0.8750  4 Te 2.60
V  0.7500  0.6250  0.3750  4 Te 2.60
V  0.3750  0.1250  0.7500  4 Te 2.60
V  0.6250  0.8750  0.2500  4 Te 2.60
V  0.5000  0.5000  0.5000  6 Te 2.78
V  0.5000  0.0000  0.0000  6 Te 2.78
V  0.0000  0.0000  0.5000  6 Te 2.78
V  0.2500  0.3750  0.6250  4 Te 2.60
V  0.2500  0.8750  0.1250  4 Te 2.60
V  0.0000  0.5000  0.5000  6 Te 2.78
V  0.8750  0.2500  0.6250  4 Te 2.60
V  0.6250  0.7500  0.8750  4 Te 2.60
V  0.8750  0.6250  0.7500  4 Te 2.60
Te  0.7103  0.1188  0.0326  2 V 2.60-2.78
Te  0.3223  0.5326  0.4138  2 V 2.60-2.78
Te  0.9674  0.3812  0.2897  2 V 2.60-2.78
Te  0.5326  0.2103  0.1188  2 V 2.60-2.78
Te  0.5914  0.7103  0.6777  2 V 2.60-2.78
Te  0.9674  0.5862  0.1777  2 V 2.60-2.78
Te  0.3223  0.7897  0.4086  2 V 2.60-2.78
Te  0.0862  0.9086  0.1188  2 V 2.60-2.78
Te  0.5862  0.9674  0.6777  2 V 2.60-2.78
Te  0.7103  0.5914  0.1777  2 V 2.60-2.78
Te  0.7897  0.4674  0.3812  2 V 2.60-2.78
Te  0.8223  0.9138  0.0326  2 V 2.60-2.78
Te  0.1188  0.7103  0.5326  2 V 2.60-2.78
Te  0.3812  0.4138  0.0914  2 V 2.60-2.78
Te  0.0914  0.9138  0.3812  2 V 2.60-2.78
Te  0.4086  0.1188  0.5862  2 V 2.60-2.78
Te  0.0914  0.1777  0.2103  2 V 2.60-2.78
Te  0.4674  0.6777  0.0862  2 V 2.60-2.78
Te  0.8223  0.9086  0.2897  2 V 2.60-2.78
Te  0.1188  0.4086  0.0862  2 V 2.60-2.78
Te  0.3812  0.9674  0.7897  2 V 2.60-2.78
Te  0.5862  0.6188  0.4086  2 V 2.60-2.78
Te  0.9138  0.8223  0.5326  2 V 2.60-2.78
Te  0.7897  0.3223  0.9086  2 V 2.60-2.78
Te  0.4138  0.3812  0.5914  2 V 2.60-2.78
Te  0.0862  0.1777  0.4674  2 V 2.60-2.78
Te  0.2103  0.6777  0.0914  2 V 2.60-2.78
Te  0.1777  0.0914  0.7103  2 V 2.60-2.78
Te  0.6188  0.0326  0.2103  2 V 2.60-2.78
Te  0.8812  0.5914  0.9138  2 V 2.60-2.78
Te  0.5326  0.3223  0.9138  2 V 2.60-2.78
Te  0.5914  0.8812  0.4138  2 V 2.60-2.78
Te  0.9086  0.8223  0.7897  2 V 2.60-2.78
Te  0.9086  0.0862  0.6188  2 V 2.60-2.78
Te  0.8812  0.2897  0.4674  2 V 2.60-2.78
Te  0.1777  0.0862  0.9674  2 V 2.60-2.78
Te  0.6188  0.5862  0.9086  2 V 2.60-2.78
Te  0.4138  0.0326  0.3223  2 V 2.60-2.78
Te  0.2897  0.4086  0.8223  2 V 2.60-2.78
Te  0.2103  0.5326  0.6188  2 V 2.60-2.78
Te  0.9138  0.0914  0.8812  2 V 2.60-2.78
Te  0.6777  0.2103  0.5914  2 V 2.60-2.78
Te  0.4674  0.7897  0.8812  2 V 2.60-2.78
Te  0.0326  0.4138  0.8223  2 V 2.60-2.78
Te  0.4086  0.2897  0.3223  2 V 2.60-2.78
Te  0.0326  0.6188  0.7103  2 V 2.60-2.78
Te  0.6777  0.4674  0.5862  2 V 2.60-2.78
Te  0.2897  0.8812  0.9674  2 V 2.60-2.78